Here is a relaxed TbUIr crystal from the Open Quantum Materials Database. Energies are from GGA-PBE.

Summary:
* M_tot: 3.36 μB/cell
* raw total energy: -25.19 eV per cell
* space-group type: F-43m (216)

Cell lengths 4.7511, 4.7511, 4.7511 Å; angles 60.00, 60.00, 60.00 degrees
With the nearest neighbours (Å) after each atom.
Element x y z (fractional)
Tb 0.7500 0.7500 0.7500  4 Ir 2.91
U 0.2500 0.2500 0.2500  4 Ir 2.91
Ir 0.0000 0.0000 0.0000  4 U 2.91, 4 Tb 2.91


Here is a relaxed TbIrW crystal from the Open Quantum Materials Database. Energies are from GGA-PBE.

Summary:
* M_tot: 0.00 μB/cell
* raw total energy: -25.64 eV per cell
* space-group type: F-43m (216)

Cell lengths 4.5352, 4.5352, 4.5352 Å; angles 60.00, 60.00, 60.00 degrees
With the nearest neighbours (Å) after each atom.
Element x y z (fractional)
Ir 0.0000 0.0000 0.0000  4 W 2.78, 4 Tb 2.78
Tb 0.7500 0.7500 0.7500  4 Ir 2.78
W 0.2500 0.2500 0.2500  4 Ir 2.78


Here is a relaxed TbY3Ir8 crystal from the Open Quantum Materials Database. Energies are from GGA-PBE.

Summary:
* M_tot: 0.02 μB/cell
* raw total energy: -104.50 eV per cell
* space-group type: R3m (160)

Cell lengths 9.2747, 9.2747, 9.2747 Å; angles 33.58, 33.58, 33.58 degrees
With the nearest neighbours (Å) after each atom.
Element x y z (fractional)
Ir 0.0625 0.0625 0.5625  6 Ir 2.68
Ir 0.0625 0.5625 0.0625  6 Ir 2.68
Ir 0.5625 0.0625 0.5625  6 Ir 2.68
Y 0.6250 0.6250 0.6250  12 Ir 3.14, 4 Y 3.28
Y 0.5000 0.5000 0.5000  12 Ir 3.14, 1 Y 3.28, 3 Tb 3.28
Ir 0.8125 0.8125 0.8125  6 Ir 2.68
Tb 0.1250 0.1250 0.1250  12 Ir 3.14, 4 Y 3.28
Ir 0.0625 0.5625 0.5625  6 Ir 2.68
Ir 0.5625 0.5625 0.0625  6 Ir 2.68
Ir 0.3125 0.3125 0.3125  6 Ir 2.68
Ir 0.5625 0.0625 0.0625  6 Ir 2.68
Y 0.0000 0.0000 0.0000  12 Ir 3.14, 1 Tb 3.28, 3 Y 3.28


Here is a relaxed TbZn4Ir crystal from the Open Quantum Materials Database. Energies are from GGA-PBE.

Summary:
* M_tot: 0.00 μB/cell
* raw total energy: -21.07 eV per cell
* space-group type: F-43m (216)

Cell lengths 5.1089, 5.1089, 5.1089 Å; angles 60.00, 60.00, 60.00 degrees
With the nearest neighbours (Å) after each atom.
Element x y z (fractional)
Zn 0.6261 0.6261 0.1216  6 Zn 2.53-2.58
Zn 0.6261 0.1216 0.6261  6 Zn 2.53-2.58
Ir 0.0000 0.0000 0.0000  12 Zn 2.99, 4 Tb 3.13
Tb 0.2500 0.2500 0.2500  12 Zn 3.00, 4 Ir 3.13
Zn 0.6261 0.6261 0.6261  6 Zn 2.53-2.58
Zn 0.1216 0.6261 0.6261  6 Zn 2.53-2.58


Q: Number 4 is which compound?
A: TbZn4Ir


Q: What is the formula in the second record?
A: TbIrW


Q: M_tot of number 4 (TbZn4Ir)?
A: 0.00 μB/cell